CuPOs2: optimized geometry, GGA-PBEsol.

As for the energy: -8.32 eV/atom. The total moment is 0.0000 μB per atom.

It has space group Pmm2 (No. 25), with a = 2.7737 Å, b = 3.6493 Å, c = 5.1229 Å, α = 90.00°, β = 90.00° and γ = 90.00°. Symmetry generates all atoms from Cu at (0.0000, 0.0000, 0.0000), P at (0.5000, 0.5000, 0.7472), Os at (0.0000, 0.0000, 0.5009) and Os at (0.5000, 0.5000, 0.2327).